{
  "formula": "Ac2LaPm4Pr2",
  "functional": "PBE",
  "state": "optimized geometry",
  "delta_e_f_ev_per_atom": 0.02,
  "e_tot_ev_per_atom": -4.610,
  "n_ef_per_ev_cell": 12.9,
  "crystal_system": "monoclinic",
  "lattice_angstrom": [[3.799, 0.000, 0.000], [-1.900, 9.798, -0.472], [0.000, -3.940, 9.273]],
  "species": ["La", "Pr", "Pr", "Pm", "Ac", "Pm", "Ac", "Pm", "Pm"],
  "fractional_positions": [[0.000, 0.000, 0.000], [0.334, 0.668, 0.994], [0.666, 0.332, 0.006], [0.183, 0.366, 0.332], [0.147, 0.293, 0.664], [0.482, 0.963, 0.675], [0.853, 0.707, 0.336], [0.518, 0.037, 0.325], [0.817, 0.634, 0.668]]
}



{
  "formula": "Ac2LaPmPr",
  "functional": "PBE",
  "state": "optimized geometry",
  "delta_e_f_ev_per_atom": 0.24,
  "e_tot_ev_per_atom": -4.292,
  "n_ef_per_ev_cell": 14.0,
  "crystal_system": "monoclinic",
  "lattice_angstrom": [[-2.117, 5.701, -3.472], [-8.574, -2.585, 0.985], [-0.339, 3.269, 5.574]],
  "species": ["Pr", "Ac", "La", "Ac", "Pm", "Ac", "Ac", "Pr", "La", "Pm"],
  "fractional_positions": [[0.000, 0.000, 0.500], [0.700, 0.299, 0.749], [0.579, 0.000, 0.250], [0.700, 0.701, 0.751], [0.164, 0.500, 0.750], [0.300, 0.701, 0.251], [0.300, 0.299, 0.249], [0.000, 0.000, 0.000], [0.421, 0.000, 0.750], [0.836, 0.500, 0.250]]
}